A relaxed structure of Li2AlPb, computed with PBE-GGA.

Properties
DFT total energy	-11.79	eV per formula unit
calculated formation energy	-0.127	eV/atom
space group	F222, No. 22

Geometry as POSCAR:
```
Li2AlPb
1.0
-1.133 -1.846 -4.755
4.122 -2.722 -1.703
-2.644 -0.242 4.484
Al Li Pb
1 2 1
Cartesian
1.486 -2.624 -0.224
2.988 -4.568 -6.458
-1.141 -2.187 -1.750
1.494 -2.284 -3.229
```